# 1
VASP calculation (SCAN) on a PBEsol-optimized structure of YH5S3O13.

Calculated values
Energy (eV/atom): -8.7555
Size of the total moment (Bohr magnetons per cell): 0.0

Unit cell a=6.7825 b=7.9782 c=9.5033 alpha=81.68 beta=78.71 gamma=77.56
Sites, in units of the cell vectors:
O (0.5913, 0.1042, 0.7371)
O (0.3331, 0.1566, 0.5572)
O (0.5709, 0.8091, 0.0177)
O (0.7940, 0.5329, 0.4448)
O (0.8918, 0.6496, 0.9090)
Y (0.8611, 0.3141, 0.3025)
S (0.2173, 0.2978, 0.9529)
O (0.5073, 0.3595, 0.3850)
O (0.2060, 0.4671, 0.5552)
H (0.6014, 0.2077, 0.1125)
O (0.4291, 0.1909, 0.9823)
O (0.1757, 0.3108, 0.3631)
H (0.0366, 0.7637, 0.1907)
H (0.5106, 0.1486, 0.8827)
O (0.8352, 0.1578, 0.5256)
O (0.8432, 0.2718, 0.7483)
O (0.7406, 0.5584, 0.1547)
H (0.5614, 0.8564, 0.3765)
O (0.1082, 0.3504, 0.0910)
S (0.1907, 0.8814, 0.3188)
H (0.9634, 0.2363, 0.8093)
H (0.4894, 0.8514, 0.1173)
O (0.0502, 0.0337, 0.2690)
O (0.1224, 0.1772, 0.8951)
H (0.7919, 0.0561, 0.1327)
H (0.4386, 0.1436, 0.6235)
O (0.4927, 0.6405, 0.6150)
S (0.3059, 0.3328, 0.4612)
O (0.8776, 0.8228, 0.1049)
O (0.7297, 0.1763, 0.1521)
S (0.8093, 0.1186, 0.6812)
S (0.6941, 0.6672, 0.5388)
H (0.3986, 0.7923, 0.8875)
O (0.2703, 0.8237, 0.8479)
O (0.4087, 0.8958, 0.2629)
Y (0.1389, 0.6859, 0.6975)
S (0.7827, 0.7022, 0.0471)
O (0.1568, 0.7282, 0.2517)
O (0.9498, 0.9663, 0.7310)
H (0.2081, 0.9439, 0.8673)
O (0.2594, 0.4416, 0.8453)
O (0.1648, 0.8422, 0.4744)
O (0.6669, 0.8434, 0.4428)
O (0.8243, 0.6892, 0.6369)

***

# 2
VASP calculation (SCAN) on a PBEsol-optimized structure of ZnH2SO5.

Calculated values
Energy (eV/atom): -8.2789
Size of the total moment (Bohr magnetons per cell): 0.0

Unit cell a=5.1449 b=5.1449 c=7.4931 alpha=106.67 beta=106.67 gamma=98.73
Sites, in units of the cell vectors:
O (0.8230, 0.7722, 0.6629)
Zn (0.5000, 0.0000, 0.0000)
O (0.7722, 0.8230, 0.1629)
O (0.3805, 0.6195, 0.7500)
S (0.9132, 0.0868, 0.7500)
O (0.8196, 0.2067, 0.5937)
O (0.1770, 0.2278, 0.3371)
O (0.2278, 0.1770, 0.8371)
O (0.2067, 0.8196, 0.0937)
O (0.6195, 0.3805, 0.2500)
O (0.1804, 0.7933, 0.4063)
H (0.5499, 0.6395, 0.7067)
H (0.4501, 0.3605, 0.2933)
H (0.3605, 0.4501, 0.7933)
O (0.7933, 0.1804, 0.9063)
H (0.6395, 0.5499, 0.2067)
S (0.0868, 0.9132, 0.2500)
Zn (0.0000, 0.5000, 0.5000)

***

# 3
VASP calculation (SCAN) on a PBEsol-optimized structure of ZnH2S2O8.

Calculated values
Energy (eV/atom): -8.3336
Size of the total moment (Bohr magnetons per cell): 0.0

Unit cell a=4.9099 b=7.3301 c=8.2018 alpha=90.00 beta=90.00 gamma=98.51
Sites, in units of the cell vectors:
O (0.1941, 0.8792, 0.5837)
S (0.9541, 0.2870, 0.3194)
O (0.8059, 0.1208, 0.4163)
O (0.6815, 0.0513, 0.8498)
O (0.6941, 0.3792, 0.9163)
O (0.4210, 0.7281, 0.3535)
O (0.5790, 0.2719, 0.6465)
O (0.7456, 0.8154, 0.1370)
O (0.3185, 0.9487, 0.1502)
O (0.2544, 0.1846, 0.8630)
O (0.8185, 0.4487, 0.3498)
O (0.3059, 0.6208, 0.0837)
H (0.7796, 0.3341, 0.0214)
H (0.2204, 0.6659, 0.9786)
S (0.0459, 0.7130, 0.6806)
O (0.9210, 0.2281, 0.1465)
O (0.7544, 0.6846, 0.6370)
H (0.2796, 0.8341, 0.4786)
Zn (0.5000, 0.5000, 0.5000)
O (0.1815, 0.5513, 0.6502)
S (0.4541, 0.7870, 0.1806)
O (0.2456, 0.3154, 0.3630)
Zn (0.0000, 0.0000, 0.0000)
S (0.5459, 0.2130, 0.8194)
H (0.7204, 0.1659, 0.5214)
O (0.0790, 0.7719, 0.8535)

***

# 4
VASP calculation (SCAN) on a PBEsol-optimized structure of ZnH12S2O12.

Calculated values
Energy (eV/atom): -6.7222
Size of the total moment (Bohr magnetons per cell): 0.0

Unit cell a=6.3779 b=6.6273 c=6.8715 alpha=101.68 beta=96.33 gamma=94.92
Sites, in units of the cell vectors:
H (0.8066, 0.1626, 0.7064)
O (0.8711, 0.0338, 0.7152)
S (0.5004, 0.5465, 0.3572)
Zn (0.0000, 0.0000, 0.0000)
H (0.7976, 0.9217, 0.6062)
H (0.3971, 0.1766, 0.0371)
O (0.4405, 0.6344, 0.7783)
H (0.1812, 0.6698, 0.8362)
O (0.7171, 0.4081, 0.6943)
H (0.2024, 0.0783, 0.3938)
O (0.2829, 0.5919, 0.3057)
O (0.5595, 0.3656, 0.2217)
O (0.9514, 0.3058, 0.1046)
H (0.8188, 0.3302, 0.1638)
O (0.0486, 0.6942, 0.8954)
S (0.4996, 0.4535, 0.6428)
O (0.3402, 0.2726, 0.6030)
H (0.7056, 0.8502, 0.1900)
H (0.9335, 0.5871, 0.8227)
H (0.0665, 0.4129, 0.1773)
O (0.2967, 0.0853, 0.9279)
H (0.1934, 0.8374, 0.2936)
H (0.2944, 0.1498, 0.8100)
O (0.7033, 0.9147, 0.0721)
O (0.6598, 0.7274, 0.3970)
O (0.1289, 0.9662, 0.2848)
H (0.6029, 0.8234, 0.9629)